An optimized crystal structure of KCdCuCl6, computed with PBE.

Lattice parameters (Å, degrees): 6.589 6.589 6.911 90.00 90.00 120.00
Fractional positions:
1 K 0.000 0.000 0.000
2 Cd 0.333 0.667 0.500
3 Cu 0.667 0.333 0.500
4 Cl 0.388 0.031 0.704
5 Cl 0.388 0.357 0.296
6 Cl 0.643 0.031 0.296
7 Cl 0.643 0.612 0.704
8 Cl 0.969 0.357 0.704
9 Cl 0.969 0.612 0.296

Properties
The crystal system is trigonal. For the uncorrected formation energy, the calculation gives -0.917 eV per atom. Its space group is P312 (149).

---

An optimized crystal structure of SrTlSeCl, computed with PBE.

Lattice parameters (Å, degrees): 8.566 8.566 8.566 29.98 29.98 29.98
Fractional positions:
1 Sr 0.000 0.000 0.000
2 Tl 0.189 0.189 0.189
3 Se 0.596 0.596 0.596
4 Cl 0.395 0.395 0.395

Properties
The value obtained for the energy above the most stable polymorph in this dataset is 0 meV per atom. The crystal system is trigonal. For the uncorrected formation energy, the calculation gives -1.581 eV per atom. Its space group is R3m (160).

---

An optimized crystal structure of TiZnFe, computed with PBE.

Lattice parameters (Å, degrees): 6.461 6.461 6.461 37.54 37.54 37.54
Fractional positions:
1 Ti 0.094 0.094 0.094
2 Ti 0.906 0.906 0.906
3 Zn 0.362 0.362 0.362
4 Zn 0.638 0.638 0.638
5 Fe 0.221 0.221 0.221
6 Fe 0.779 0.779 0.779

Properties
Its formation energy is 239 meV/atom. The crystal system is trigonal. Its space group is R-3m (166).

---

An optimized crystal structure of Ca2MgSn3Ir4, computed with PBE.

Lattice parameters (Å, degrees): 4.328 4.328 11.403 90.00 90.00 90.00
Fractional positions:
1 Ca 0.000 0.500 0.250
2 Ca 0.500 0.000 0.750
3 Mg 0.000 0.000 0.500
4 Sn 0.000 0.500 0.868
5 Sn 0.500 0.000 0.132
6 Sn 0.500 0.500 0.500
7 Ir 0.000 0.000 0.000
8 Ir 0.000 0.500 0.639
9 Ir 0.500 0.000 0.361
10 Ir 0.500 0.500 0.000

Properties
Its formation energy is -446 meV/atom. The crystal system is tetragonal. Its space group is P-4m2 (115).

---

An optimized crystal structure of TmGaRhAu, computed with PBE.

Lattice parameters (Å, degrees): 4.673 4.673 4.673 60.00 60.00 60.00
Fractional positions:
1 Tm 0.000 0.000 0.000
2 Ga 0.500 0.500 0.500
3 Rh 0.250 0.250 0.250
4 Au 0.750 0.750 0.750

Properties
Its formation energy is -641 meV/atom. The crystal system is cubic. Its space group is F-43m (216).

---

An optimized crystal structure of Ca3Sn2Au3, computed with PBE.

Lattice parameters (Å, degrees): 8.860 8.860 6.090 90.00 90.00 120.00
Fractional positions:
1 Ca 0.000 0.285 0.250
2 Ca 0.000 0.715 0.750
3 Ca 0.285 0.000 0.250
4 Ca 0.285 0.285 0.750
5 Ca 0.715 0.000 0.750
6 Ca 0.715 0.715 0.250
7 Sn 0.333 0.667 0.000
8 Sn 0.333 0.667 0.500
9 Sn 0.667 0.333 0.000
10 Sn 0.667 0.333 0.500
11 Au 0.000 0.372 0.750
12 Au 0.000 0.628 0.250
13 Au 0.372 0.000 0.750
14 Au 0.372 0.372 0.250
15 Au 0.628 0.000 0.250
16 Au 0.628 0.628 0.750

Properties
Its formation energy is -614 meV/atom. The value obtained for the energy above the most stable polymorph in this dataset is 70 meV per atom. The crystal system is hexagonal. Its space group is P6_3/mcm (193).